Compound: Sr2CrPb
Source: Alexandria via LeMat-Bulk
Functional: PBE-GGA
Structure: relaxed

Summary:
SG: Pm, No. 6
Formation energy from the elements: 0.06 eV/atom
DFT total energy: -16.44 eV per formula unit

Geometry as POSCAR:
```
Sr2CrPb
1.0
4.843 0.000 0.000
0.000 4.885 0.000
-2.414 0.000 6.039
Sr Cr Pb
2 1 1
direct
0.000 0.000 0.000
0.286 0.500 0.572
0.585 0.500 0.169
0.707 0.000 0.416
```